1.
Y11Cd9Rh4 after structural relaxation. Source: the Alexandria database, functional PBE.

ΔE_f: -12.936 eV/f.u.
Space group: No. 65
Calculated total energy: -5.0701 eV per atom
DOS(E_F): 0.753 states/eV/atom

a = 13.0436 Å, b = 13.0436 Å, c = 3.7031 Å
α = 90.00°, β = 90.00°, γ = 112.61°
Positions (direct):
Y1 0.0000 0.0000 0.0000
Y2 0.0834 0.4168 0.0000
Y3 0.1630 0.8370 0.0000
Y4 0.3005 0.3005 0.0000
Y5 0.3677 0.6323 0.0000
Y6 0.4168 0.0834 0.0000
Y7 0.5832 0.9166 0.0000
Y8 0.6323 0.3677 0.0000
Y9 0.6995 0.6995 0.0000
Y10 0.8370 0.1630 0.0000
Y11 0.9166 0.5832 0.0000
Cd1 0.0670 0.2138 0.5000
Cd2 0.1518 0.6330 0.5000
Cd3 0.2138 0.0670 0.5000
Cd4 0.3670 0.8482 0.5000
Cd5 0.5000 0.5000 0.5000
Cd6 0.6330 0.1518 0.5000
Cd7 0.7862 0.9330 0.5000
Cd8 0.8482 0.3670 0.5000
Cd9 0.9330 0.7862 0.5000
Rh1 0.2572 0.4525 0.5000
Rh2 0.4525 0.2572 0.5000
Rh3 0.5475 0.7428 0.5000
Rh4 0.7428 0.5475 0.5000

=====

2.
Y2CdRh3 after structural relaxation. Source: the Alexandria database, functional PBE.

ΔE_f: -4.004 eV/f.u.
Space group: No. 164
Calculated total energy: -6.6502 eV per atom
DOS(E_F): 0.288 states/eV/atom

a = 4.7496 Å, b = 4.7496 Å, c = 11.6565 Å
α = 90.00°, β = 90.00°, γ = 120.00°
Positions (direct):
Y1 0.0000 0.0000 0.0000
Y2 0.0000 0.0000 0.5000
Y3 0.3333 0.6667 0.1807
Y4 0.6667 0.3333 0.8193
Cd1 0.3333 0.6667 0.6655
Cd2 0.6667 0.3333 0.3345
Rh1 0.0000 0.0000 0.2496
Rh2 0.0000 0.0000 0.7504
Rh3 0.3333 0.6667 0.4212
Rh4 0.3333 0.6667 0.9164
Rh5 0.6667 0.3333 0.0836
Rh6 0.6667 0.3333 0.5788

=====

3.
Y4CdRh3 after structural relaxation. Source: the Alexandria database, functional PBE.

ΔE_f: -5.397 eV/f.u.
Space group: No. 123
Calculated total energy: -6.7778 eV per atom
DOS(E_F): 0.896 states/eV/atom

a = 4.9189 Å, b = 4.9189 Å, c = 7.1657 Å
α = 90.00°, β = 90.00°, γ = 90.00°
Positions (direct):
Y1 0.0000 0.5000 0.2369
Y2 0.0000 0.5000 0.7631
Y3 0.5000 0.0000 0.2369
Y4 0.5000 0.0000 0.7631
Cd1 0.0000 0.0000 0.5000
Rh1 0.0000 0.0000 0.0000
Rh2 0.5000 0.5000 0.0000
Rh3 0.5000 0.5000 0.5000

=====

4.
YCd2Rh after structural relaxation. Source: the Alexandria database, functional PBE.

ΔE_f: -1.469 eV/f.u.
Space group: No. 99
Calculated total energy: -4.2788 eV per atom
DOS(E_F): 0.525 states/eV/atom

a = 3.4371 Å, b = 3.4371 Å, c = 7.2550 Å
α = 90.00°, β = 90.00°, γ = 90.00°
Positions (direct):
Y1 0.0000 0.0000 0.0000
Cd1 0.0000 0.0000 0.5653
Cd2 0.5000 0.5000 0.3161
Rh1 0.5000 0.5000 0.7852

=====

5.
YCdRh3 after structural relaxation. Source: the Alexandria database, functional PBE.

ΔE_f: 4.804 eV/f.u.
Space group: No. 221
Calculated total energy: -4.9259 eV per atom
DOS(E_F): 1.444 states/eV/atom
Energy relative to the lowest polymorph listed for this composition: 0.236 eV/atom

a = 4.9079 Å, b = 4.9079 Å, c = 4.9079 Å
α = 90.00°, β = 90.00°, γ = 90.00°
Positions (direct):
Y1 0.0000 0.0000 0.0000
Cd1 0.5000 0.5000 0.5000
Rh1 0.0000 0.0000 0.5000
Rh2 0.0000 0.5000 0.0000
Rh3 0.5000 0.0000 0.0000

=====

6.
YCd2Rh after structural relaxation. Source: the Alexandria database, functional PBE.

ΔE_f: 0.139 eV/f.u.
Space group: No. 166
Calculated total energy: -3.8767 eV per atom
DOS(E_F): 1.062 states/eV/atom

a = 9.7652 Å, b = 9.7652 Å, c = 9.7652 Å
α = 19.10°, β = 19.10°, γ = 19.10°
Positions (direct):
Y1 0.0000 0.0000 0.0000
Cd1 0.2386 0.2386 0.2386
Cd2 0.7614 0.7614 0.7614
Rh1 0.5000 0.5000 0.5000

=====

7.
YCd4Rh after structural relaxation. Source: the Alexandria database, functional PBE.

ΔE_f: -0.990 eV/f.u.
Space group: No. 216
Calculated total energy: -3.0776 eV per atom
DOS(E_F): 0.049 states/eV/atom
Energy relative to the lowest polymorph listed for this composition: 0.121 eV/atom

a = 5.6162 Å, b = 5.6162 Å, c = 5.6162 Å
α = 60.00°, β = 60.00°, γ = 60.00°
Positions (direct):
Y1 0.0000 0.0000 0.0000
Cd1 0.1273 0.6242 0.6242
Cd2 0.6242 0.1273 0.6242
Cd3 0.6242 0.6242 0.1273
Cd4 0.6242 0.6242 0.6242
Rh1 0.2500 0.2500 0.2500

=====

8.
Y8Cd2Rh after structural relaxation. Source: the Alexandria database, functional PBE.

ΔE_f: -2.891 eV/f.u.
Space group: No. 12
Calculated total energy: -5.7987 eV per atom
DOS(E_F): 0.890 states/eV/atom

a = 9.2572 Å, b = 9.2572 Å, c = 6.9488 Å
α = 108.91°, β = 108.91°, γ = 33.58°
Positions (direct):
Y1 0.0209 0.0209 0.2838
Y2 0.1984 0.1984 0.7924
Y3 0.3480 0.3480 0.5461
Y4 0.4094 0.4094 0.0744
Y5 0.5906 0.5906 0.9256
Y6 0.6520 0.6520 0.4539
Y7 0.8016 0.8016 0.2076
Y8 0.9791 0.9791 0.7162
Cd1 0.1823 0.1823 0.2104
Cd2 0.8177 0.8177 0.7896
Rh1 0.5000 0.5000 0.5000

=====

9.
YCd2Rh2 after structural relaxation. Source: the Alexandria database, functional PBE.

ΔE_f: -0.536 eV/f.u.
Space group: No. 139
Calculated total energy: -4.7066 eV per atom
DOS(E_F): 0.431 states/eV/atom
Energy relative to the lowest polymorph listed for this composition: 0.240 eV/atom

a = 5.7919 Å, b = 5.7919 Å, c = 5.7919 Å
α = 131.11°, β = 131.11°, γ = 71.64°
Positions (direct):
Y1 0.0000 0.0000 0.0000
Cd1 0.3616 0.3616 0.0000
Cd2 0.6384 0.6384 0.0000
Rh1 0.2500 0.7500 0.5000
Rh2 0.7500 0.2500 0.5000

=====

10.
Y6CdRh2 after structural relaxation. Source: the Alexandria database, functional PBE.

ΔE_f: -4.701 eV/f.u.
Space group: No. 71
Calculated total energy: -6.5670 eV per atom
DOS(E_F): 0.991 states/eV/atom

a = 8.5173 Å, b = 8.5173 Å, c = 8.5173 Å
α = 112.82°, β = 111.16°, γ = 104.55°
Positions (direct):
Y1 0.0400 0.2387 0.8013
Y2 0.1812 0.2853 0.4665
Y3 0.1812 0.7147 0.8960
Y4 0.3274 0.0203 0.6929
Y5 0.3274 0.6345 0.3071
Y6 0.4373 0.2387 0.1987
Y7 0.5627 0.7613 0.8013
Y8 0.6726 0.3655 0.6929
Y9 0.6726 0.9797 0.3071
Y10 0.8188 0.2853 0.1040
Y11 0.8188 0.7147 0.5335
Y12 0.9600 0.7613 0.1987
Cd1 0.0000 0.0000 0.0000
Cd2 0.5000 0.5000 0.0000
Rh1 0.1301 0.6301 0.5000
Rh2 0.3341 0.0000 0.3341
Rh3 0.6659 0.0000 0.6659
Rh4 0.8699 0.3699 0.5000

=====

11.
Y6CdRh5 after structural relaxation. Source: the Alexandria database, functional PBE.

ΔE_f: -8.819 eV/f.u.
Space group: No. 65
Calculated total energy: -7.1063 eV per atom
DOS(E_F): 0.626 states/eV/atom

a = 7.7383 Å, b = 7.7383 Å, c = 7.0840 Å
α = 90.00°, β = 90.00°, γ = 143.19°
Positions (direct):
Y1 0.0000 0.0000 0.2365
Y2 0.0000 0.0000 0.7635
Y3 0.3282 0.6718 0.2462
Y4 0.3282 0.6718 0.7538
Y5 0.6718 0.3282 0.2462
Y6 0.6718 0.3282 0.7538
Cd1 0.5000 0.5000 0.5000
Rh1 0.1626 0.8374 0.5000
Rh2 0.1677 0.8323 0.0000
Rh3 0.5000 0.5000 0.0000
Rh4 0.8323 0.1677 0.0000
Rh5 0.8374 0.1626 0.5000

=====

12.
Y12CdRh6 after structural relaxation. Source: the Alexandria database, functional PBE.

ΔE_f: -10.679 eV/f.u.
Space group: No. 204
Calculated total energy: -7.0143 eV per atom
DOS(E_F): 1.036 states/eV/atom

a = 8.5938 Å, b = 8.5938 Å, c = 8.5938 Å
α = 109.47°, β = 109.47°, γ = 109.47°
Positions (direct):
Y1 0.1100 0.3001 0.8098
Y2 0.1902 0.4903 0.3001
Y3 0.1902 0.8900 0.6999
Y4 0.3001 0.1902 0.4903
Y5 0.3001 0.8098 0.1100
Y6 0.4903 0.3001 0.1902
Y7 0.5097 0.6999 0.8098
Y8 0.6999 0.1902 0.8900
Y9 0.6999 0.8098 0.5097
Y10 0.8098 0.1100 0.3001
Y11 0.8098 0.5097 0.6999
Y12 0.8900 0.6999 0.1902
Cd1 0.0000 0.0000 0.0000
Rh1 0.1286 0.5000 0.6286
Rh2 0.3714 0.8714 0.5000
Rh3 0.5000 0.3714 0.8714
Rh4 0.5000 0.6286 0.1286
Rh5 0.6286 0.1286 0.5000
Rh6 0.8714 0.5000 0.3714

=====

Q: ΔE_f of number 9 (YCd2Rh2)?
A: -0.536 eV/f.u.